No. 1
First-principles (GGA-PBEsol) data for a relaxed structure of Cr2Os3, as listed in Alexandria.

Unit cell a=4.0187 b=4.0187 c=5.0422 alpha=90.00 beta=90.00 gamma=120.00
Fractional positions:
Cr1 0.3333 0.6667 0.3201
Cr2 0.6667 0.3333 0.6799
Os1 0.0000 0.0000 0.5000
Os2 0.3333 0.6667 0.8451
Os3 0.6667 0.3333 0.1549

Size of the total moment in μB per formula unit: 0.000
VASP energy in eV per atom: -10.9826
Calculated density in g cm⁻³: 15.89
Symmetry: P-3m1, No. 164



No. 2
First-principles (GGA-PBEsol) data for a relaxed structure of CrOs, as listed in Alexandria.

Unit cell a=8.5824 b=8.5824 c=8.5824 alpha=17.82 beta=17.82 gamma=17.82
Fractional positions:
Cr1 0.1264 0.1264 0.1264
Cr2 0.8736 0.8736 0.8736
Os1 0.3800 0.3800 0.3800
Os2 0.6200 0.6200 0.6200

Size of the total moment in μB per formula unit: 0.000
VASP energy in eV per atom: -11.0041
Calculated density in g cm⁻³: 15.57
Symmetry: R-3m, No. 166



No. 3
First-principles (GGA-PBEsol) data for a relaxed structure of CrPOs, as listed in Alexandria.

Unit cell a=4.9581 b=4.9581 c=4.9581 alpha=147.12 beta=147.12 gamma=47.19
Fractional positions:
Cr1 0.0000 0.0000 0.0000
P1 0.6400 0.6400 0.0000
Os1 0.3075 0.3075 0.0000

Size of the total moment in μB per formula unit: 0.000
VASP energy in eV per atom: -9.6040
Calculated density in g cm⁻³: 12.68
Symmetry: I4mm, No. 107



size of the total moment of number 3 (CrPOs)?
0.000 μB per formula unit



The lowest VASP energy belongs to which entry?
CrOs



The lowest calculated density belongs to which entry?
CrPOs